This record from Alexandria via LeMat-Bulk describes Sr8Cd2Ir after structural relaxation. The functional is PBE.

Calculated values
Space-group type: C2/m
ΔH_f (0 K) in meV/atom: -161
Raw total energy in eV/cell: -25.914
V in Å³/cell: 499.9
Total magnetic moment in μB per atom: 0.000

a = 7.2123 Å, b = 8.7541 Å, c = 8.7541 Å
α = 72.85°, β = 74.96°, γ = 74.96°
Last column: nearest neighbours and their distance in Å.
Atoms (fractional coordinates):
Sr 0.7582 0.3313 0.9446  1 Ir 2.95
Sr 0.7480 0.8748 0.8748  1 Ir 2.91
Sr 0.2418 0.6687 0.0554  1 Ir 2.95
Sr 0.7582 0.9446 0.3313  1 Ir 2.95
Sr 0.2418 0.0554 0.6687  1 Ir 2.95
Sr 0.1962 0.5898 0.5898  2 Cd 3.46-3.49
Sr 0.2520 0.1252 0.1252  1 Ir 2.91
Sr 0.8038 0.4102 0.4102  2 Cd 3.46-3.49
Cd 0.3986 0.3291 0.3291  7 Sr 3.36-3.68
Cd 0.6014 0.6709 0.6709  7 Sr 3.36-3.68
Ir 0.0000 0.0000 0.0000  6 Sr 2.91-2.95